Ca2BHN2 | PBEsol | relaxed

* total energy: -6.37 eV per atom
* Fermi-level density of states: 0.0 states/eV/cell

Lattice parameters (Å, degrees): 9.103 3.628 9.906 90.00 90.00 90.00
Fractional coordinates of all 24 atoms:
Ca 0.025 0.250 0.155
Ca 0.177 0.250 0.524
Ca 0.323 0.750 0.024
Ca 0.475 0.750 0.655
Ca 0.525 0.250 0.345
Ca 0.677 0.250 0.976
Ca 0.823 0.750 0.476
Ca 0.975 0.750 0.845
B 0.235 0.250 0.824
B 0.265 0.750 0.324
B 0.735 0.250 0.676
B 0.765 0.750 0.176
H 0.041 0.750 0.604
H 0.459 0.250 0.104
H 0.541 0.750 0.896
H 0.959 0.250 0.396
N 0.152 0.250 0.937
N 0.178 0.750 0.216
N 0.322 0.250 0.716
N 0.348 0.750 0.437
N 0.652 0.250 0.563
N 0.678 0.750 0.284
N 0.822 0.250 0.784
N 0.848 0.750 0.063

***

NaCaB5H10O14 | PBEsol | relaxed

* total energy: -6.54 eV per atom
* Fermi-level density of states: 0.0 states/eV/cell

Lattice parameters (Å, degrees): 6.547 12.394 13.272 90.00 99.14 90.00
Fractional coordinates of all 124 atoms:
Na 0.110 0.003 0.323
Na 0.110 0.497 0.823
Na 0.890 0.503 0.177
Na 0.890 0.997 0.677
Ca 0.350 0.087 0.096
Ca 0.350 0.413 0.596
Ca 0.650 0.587 0.404
Ca 0.650 0.913 0.904
B 0.119 0.651 0.543
B 0.119 0.849 0.043
B 0.151 0.057 0.868
B 0.151 0.443 0.368
B 0.243 0.191 0.743
B 0.243 0.309 0.243
B 0.343 0.737 0.948
B 0.343 0.763 0.448
B 0.499 0.645 0.605
B 0.499 0.855 0.105
B 0.501 0.145 0.895
B 0.501 0.355 0.395
B 0.657 0.237 0.552
B 0.657 0.263 0.052
B 0.757 0.691 0.757
B 0.757 0.809 0.257
B 0.849 0.557 0.632
B 0.849 0.943 0.132
B 0.881 0.151 0.957
B 0.881 0.349 0.457
H 0.038 0.181 0.463
H 0.038 0.319 0.963
H 0.057 0.247 0.614
H 0.057 0.253 0.114
H 0.150 0.605 0.342
H 0.150 0.895 0.842
H 0.219 0.065 0.538
H 0.219 0.435 0.038
H 0.276 0.199 0.454
H 0.276 0.301 0.954
H 0.303 0.552 0.034
H 0.303 0.948 0.534
H 0.375 0.748 0.294
H 0.375 0.752 0.794
H 0.440 0.151 0.299
H 0.440 0.349 0.799
H 0.455 0.536 0.182
H 0.455 0.964 0.682
H 0.485 0.591 0.921
H 0.485 0.909 0.421
H 0.515 0.091 0.579
H 0.515 0.409 0.079
H 0.545 0.036 0.318
H 0.545 0.464 0.818
H 0.560 0.651 0.201
H 0.560 0.849 0.701
H 0.625 0.248 0.206
H 0.625 0.252 0.706
H 0.697 0.052 0.466
H 0.697 0.448 0.966
H 0.724 0.699 0.046
H 0.724 0.801 0.546
H 0.781 0.565 0.962
H 0.781 0.935 0.462
H 0.850 0.105 0.158
H 0.850 0.395 0.658
H 0.943 0.747 0.886
H 0.943 0.753 0.386
H 0.962 0.681 0.037
H 0.962 0.819 0.537
O 0.048 0.546 0.349
O 0.048 0.954 0.849
O 0.077 0.117 0.953
O 0.077 0.383 0.453
O 0.101 0.124 0.773
O 0.101 0.376 0.273
O 0.142 0.741 0.483
O 0.142 0.759 0.983
O 0.160 0.144 0.444
O 0.160 0.356 0.944
O 0.200 0.248 0.155
O 0.200 0.252 0.655
O 0.275 0.004 0.586
O 0.275 0.496 0.086
O 0.287 0.604 0.600
O 0.287 0.896 0.100
O 0.342 0.703 0.351
O 0.342 0.797 0.851
O 0.350 0.620 0.934
O 0.350 0.880 0.434
O 0.375 0.048 0.900
O 0.375 0.452 0.400
O 0.422 0.074 0.279
O 0.422 0.426 0.779
O 0.440 0.204 0.797
O 0.440 0.296 0.297
O 0.483 0.220 0.979
O 0.483 0.280 0.479
O 0.517 0.720 0.521
O 0.517 0.780 0.021
O 0.560 0.704 0.703
O 0.560 0.796 0.203
O 0.578 0.574 0.221
O 0.578 0.926 0.721
O 0.625 0.548 0.600
O 0.625 0.952 0.100
O 0.650 0.120 0.566
O 0.650 0.380 0.066
O 0.658 0.203 0.149
O 0.658 0.297 0.649
O 0.713 0.104 0.900
O 0.713 0.396 0.400
O 0.725 0.504 0.914
O 0.725 0.996 0.414
O 0.800 0.748 0.345
O 0.800 0.752 0.845
O 0.840 0.644 0.056
O 0.840 0.856 0.556
O 0.858 0.241 0.017
O 0.858 0.259 0.517
O 0.899 0.624 0.727
O 0.899 0.876 0.227
O 0.923 0.617 0.547
O 0.923 0.883 0.047
O 0.952 0.046 0.151
O 0.952 0.454 0.651